Record 1
{
  "formula": "BaMgPbF",
  "functional": "PBE-GGA",
  "state": "optimized geometry",
  "e_tot_ev_per_atom": -3.8946,
  "space_group": "P4/nmm (129)",
  "lattice": [[4.4816, 0.0000, 0.0000], [0.0000, 4.4816, 0.0000], [0.0000, 0.0000, 11.2406]],
  "species": ["Ba", "Ba", "Mg", "Mg", "Pb", "Pb", "F", "F"],
  "fractional_positions": [[0.2500, 0.2500, 0.1328], [0.7500, 0.7500, 0.8672], [0.2500, 0.7500, 0.5000], [0.7500, 0.2500, 0.5000], [0.2500, 0.2500, 0.6840], [0.7500, 0.7500, 0.3160], [0.2500, 0.7500, 0.0000], [0.7500, 0.2500, 0.0000]]
}

***

Record 2
{
  "formula": "BaMgPd2F",
  "functional": "PBE-GGA",
  "state": "optimized geometry",
  "e_tot_ev_per_atom": -3.6610,
  "space_group": "P4/mmm (123)",
  "lattice": [[5.0272, 0.0000, 0.0000], [0.0000, 5.0272, 0.0000], [0.0000, 0.0000, 4.7652]],
  "species": ["Ba", "Mg", "Pd", "Pd", "F"],
  "fractional_positions": [[0.0000, 0.0000, 0.0000], [0.5000, 0.5000, 0.0000], [0.0000, 0.5000, 0.5000], [0.5000, 0.0000, 0.5000], [0.0000, 0.0000, 0.5000]]
}

***

Record 3
{
  "formula": "BaMgPdF6",
  "functional": "PBE-GGA",
  "state": "optimized geometry",
  "e_tot_ev_per_atom": -4.9644,
  "space_group": "Imma (74)",
  "lattice": [[-3.5302, 3.6469, 5.2619], [3.5302, -3.6469, 5.2619], [3.5302, 3.6469, -5.2619]],
  "species": ["Ba", "Ba", "Mg", "Mg", "Pd", "Pd", "F", "F", "F", "F", "F", "F", "F", "F", "F", "F", "F", "F"],
  "fractional_positions": [[0.3318, 0.0818, 0.2500], [0.6682, 0.9182, 0.7500], [0.0000, 0.0000, 0.5000], [0.0000, 0.5000, 0.0000], [0.0000, 0.5000, 0.5000], [0.5000, 0.5000, 0.0000], [0.0525, 0.3025, 0.7500], [0.0575, 0.3296, 0.1605], [0.0575, 0.8970, 0.7279], [0.3308, 0.1030, 0.6605], [0.3308, 0.6704, 0.2279], [0.3667, 0.6167, 0.7500], [0.6333, 0.3833, 0.2500], [0.6692, 0.3296, 0.7721], [0.6692, 0.8970, 0.3395], [0.9425, 0.1030, 0.2721], [0.9425, 0.6704, 0.8395], [0.9475, 0.6975, 0.2500]]
}

***

Record 4
{
  "formula": "Rb2BaMgF6",
  "functional": "PBE-GGA",
  "state": "optimized geometry",
  "e_tot_ev_per_atom": -4.9415,
  "space_group": "Fm-3m (225)",
  "lattice": [[0.0000, 4.5755, 4.5755], [4.5755, 0.0000, 4.5755], [4.5755, 4.5755, 0.0000]],
  "species": ["Rb", "Rb", "Ba", "Mg", "F", "F", "F", "F", "F", "F"],
  "fractional_positions": [[0.2500, 0.2500, 0.2500], [0.7500, 0.7500, 0.7500], [0.0000, 0.0000, 0.0000], [0.5000, 0.5000, 0.5000], [0.2787, 0.2787, 0.7213], [0.2787, 0.7213, 0.2787], [0.2787, 0.7213, 0.7213], [0.7213, 0.2787, 0.2787], [0.7213, 0.2787, 0.7213], [0.7213, 0.7213, 0.2787]]
}

***

Record 5
{
  "formula": "Rb2BaMgF6",
  "functional": "PBE-GGA",
  "state": "optimized geometry",
  "e_tot_ev_per_atom": -4.9487,
  "space_group": "P2_1/c (14)",
  "lattice": [[6.4270, 0.0000, 0.0000], [0.0000, 6.4360, 0.0000], [-6.3346, 0.0000, 9.0943]],
  "species": ["Rb", "Rb", "Rb", "Rb", "Ba", "Ba", "Mg", "Mg", "F", "F", "F", "F", "F", "F", "F", "F", "F", "F", "F", "F"],
  "fractional_positions": [[0.2417, 0.0256, 0.2484], [0.2417, 0.4744, 0.7484], [0.7583, 0.5256, 0.2516], [0.7583, 0.9744, 0.7516], [0.5000, 0.0000, 0.0000], [0.5000, 0.5000, 0.5000], [0.0000, 0.0000, 0.5000], [0.0000, 0.5000, 0.0000], [0.1519, 0.2477, 0.9643], [0.1519, 0.2523, 0.4643], [0.2173, 0.6911, 0.9677], [0.2173, 0.8089, 0.4677], [0.2827, 0.0162, 0.7194], [0.2827, 0.4838, 0.2194], [0.7173, 0.5162, 0.7806], [0.7173, 0.9838, 0.2806], [0.7827, 0.1911, 0.5323], [0.7827, 0.3089, 0.0323], [0.8481, 0.7477, 0.5357], [0.8481, 0.7523, 0.0357]]
}

***

Record 6
{
  "formula": "Rb2BaMgF",
  "functional": "PBE-GGA",
  "state": "optimized geometry",
  "e_tot_ev_per_atom": -2.4009,
  "space_group": "P4/mmm (123)",
  "lattice": [[5.9906, 0.0000, 0.0000], [0.0000, 5.9906, 0.0000], [0.0000, 0.0000, 5.6224]],
  "species": ["Rb", "Rb", "Ba", "Mg", "F"],
  "fractional_positions": [[0.0000, 0.5000, 0.0000], [0.5000, 0.0000, 0.0000], [0.0000, 0.0000, 0.5000], [0.5000, 0.5000, 0.5000], [0.0000, 0.0000, 0.0000]]
}

***

Record 7
{
  "formula": "RbBaMgF2",
  "functional": "PBE-GGA",
  "state": "optimized geometry",
  "e_tot_ev_per_atom": -3.0292,
  "space_group": "P4/mmm (123)",
  "lattice": [[5.2273, 0.0000, 0.0000], [0.0000, 5.2273, 0.0000], [0.0000, 0.0000, 6.0273]],
  "species": ["Rb", "Ba", "Mg", "F", "F"],
  "fractional_positions": [[0.0000, 0.0000, 0.0000], [0.5000, 0.5000, 0.5000], [0.0000, 0.0000, 0.5000], [0.0000, 0.5000, 0.0000], [0.5000, 0.0000, 0.0000]]
}

***

Record 8
{
  "formula": "BaMgSbF2",
  "functional": "PBE-GGA",
  "state": "optimized geometry",
  "e_tot_ev_per_atom": -4.6614,
  "space_group": "Cmcm (63)",
  "lattice": [[2.3546, -6.4587, 0.0000], [2.3546, 6.4587, 0.0000], [0.0000, 0.0000, 7.0885]],
  "species": ["Ba", "Ba", "Mg", "Mg", "Sb", "Sb", "F", "F", "F", "F"],
  "fractional_positions": [[0.2223, 0.7777, 0.7500], [0.7777, 0.2223, 0.2500], [0.5000, 0.5000, 0.0000], [0.5000, 0.5000, 0.5000], [0.0465, 0.9535, 0.2500], [0.9535, 0.0465, 0.7500], [0.3445, 0.6555, 0.0510], [0.3445, 0.6555, 0.4490], [0.6555, 0.3445, 0.5510], [0.6555, 0.3445, 0.9490]]
}

***

Record 9
{
  "formula": "BaMgSbF7",
  "functional": "PBE-GGA",
  "state": "optimized geometry",
  "e_tot_ev_per_atom": -5.2322,
  "space_group": "P2_1/c (14)",
  "lattice": [[5.8308, 0.0000, 0.0000], [0.0000, 10.7606, 0.0000], [-0.9770, 0.0000, 9.9387]],
  "species": ["Ba", "Ba", "Ba", "Ba", "Mg", "Mg", "Mg", "Mg", "Sb", "Sb", "Sb", "Sb", "F", "F", "F", "F", "F", "F", "F", "F", "F", "F", "F", "F", "F", "F", "F", "F", "F", "F", "F", "F", "F", "F", "F", "F", "F", "F", "F", "F"],
  "fractional_positions": [[0.2391, 0.1531, 0.0376], [0.2391, 0.3469, 0.5376], [0.7609, 0.6531, 0.4624], [0.7609, 0.8469, 0.9624], [0.2047, 0.6463, 0.7981], [0.2047, 0.8537, 0.2981], [0.7953, 0.1463, 0.7019], [0.7953, 0.3537, 0.2019], [0.2960, 0.5803, 0.1475], [0.2960, 0.9197, 0.6475], [0.7040, 0.0803, 0.3525], [0.7040, 0.4197, 0.8525], [0.0354, 0.6937, 0.2364], [0.0354, 0.8063, 0.7364], [0.0751, 0.1214, 0.6069], [0.0751, 0.3786, 0.1069], [0.1112, 0.5693, 0.6248], [0.1112, 0.9307, 0.1248], [0.3594, 0.0166, 0.3587], [0.3594, 0.4834, 0.8587], [0.3623, 0.7106, 0.9728], [0.3623, 0.7894, 0.4728], [0.3758, 0.5194, 0.3459], [0.3758, 0.9806, 0.8459], [0.4700, 0.7391, 0.2291], [0.4700, 0.7609, 0.7291], [0.5300, 0.2391, 0.2709], [0.5300, 0.2609, 0.7709], [0.6242, 0.0194, 0.1541], [0.6242, 0.4806, 0.6541], [0.6377, 0.2106, 0.5272], [0.6377, 0.2894, 0.0272], [0.6406, 0.5166, 0.1413], [0.6406, 0.9834, 0.6413], [0.8888, 0.0693, 0.8752], [0.8888, 0.4307, 0.3752], [0.9249, 0.6214, 0.8931], [0.9249, 0.8786, 0.3931], [0.9646, 0.1937, 0.2636], [0.9646, 0.3063, 0.7636]]
}

***

Record 10
{
  "formula": "BaMgSe2F",
  "functional": "PBE-GGA",
  "state": "optimized geometry",
  "e_tot_ev_per_atom": -3.6058,
  "space_group": "P4/mmm (123)",
  "lattice": [[4.7988, 0.0000, 0.0000], [0.0000, 4.7988, 0.0000], [0.0000, 0.0000, 6.8052]],
  "species": ["Ba", "Mg", "Se", "Se", "F"],
  "fractional_positions": [[0.0000, 0.0000, 0.0000], [0.0000, 0.0000, 0.5000], [0.0000, 0.5000, 0.5000], [0.5000, 0.0000, 0.5000], [0.5000, 0.5000, 0.0000]]
}

***

Record 11
{
  "formula": "Ba2SmMg3F12",
  "functional": "PBE-GGA",
  "state": "optimized geometry",
  "e_tot_ev_per_atom": -5.5244,
  "space_group": "R-3m (166)",
  "lattice": [[3.7621, 2.1721, 5.5721], [-3.7621, 2.1721, 5.5721], [0.0000, -4.3442, 5.5721]],
  "species": ["Ba", "Ba", "Sm", "Mg", "Mg", "Mg", "F", "F", "F", "F", "F", "F", "F", "F", "F", "F", "F", "F"],
  "fractional_positions": [[0.1143, 0.1143, 0.1143], [0.8857, 0.8857, 0.8857], [0.5000, 0.5000, 0.5000], [0.0000, 0.5000, 0.5000], [0.5000, 0.0000, 0.5000], [0.5000, 0.5000, 0.0000], [0.1068, 0.6291, 0.6291], [0.2287, 0.2287, 0.6048], [0.2287, 0.6048, 0.2287], [0.3709, 0.3709, 0.8932], [0.3709, 0.8932, 0.3709], [0.3952, 0.7713, 0.7713], [0.6048, 0.2287, 0.2287], [0.6291, 0.1068, 0.6291], [0.6291, 0.6291, 0.1068], [0.7713, 0.3952, 0.7713], [0.7713, 0.7713, 0.3952], [0.8932, 0.3709, 0.3709]]
}

***

Record 12
{
  "formula": "Ba2SrMg3F12",
  "functional": "PBE-GGA",
  "state": "optimized geometry",
  "e_tot_ev_per_atom": -5.4867,
  "space_group": "R-3m (166)",
  "lattice": [[3.6790, 2.1241, 5.6871], [-3.6790, 2.1241, 5.6871], [0.0000, -4.2482, 5.6871]],
  "species": ["Ba", "Ba", "Sr", "Mg", "Mg", "Mg", "F", "F", "F", "F", "F", "F", "F", "F", "F", "F", "F", "F"],
  "fractional_positions": [[0.1128, 0.1128, 0.1128], [0.8872, 0.8872, 0.8872], [0.5000, 0.5000, 0.5000], [0.0000, 0.5000, 0.5000], [0.5000, 0.0000, 0.5000], [0.5000, 0.5000, 0.0000], [0.0678, 0.6412, 0.6412], [0.2259, 0.2259, 0.6237], [0.2259, 0.6237, 0.2259], [0.3588, 0.3588, 0.9322], [0.3588, 0.9322, 0.3588], [0.3763, 0.7741, 0.7741], [0.6237, 0.2259, 0.2259], [0.6412, 0.0678, 0.6412], [0.6412, 0.6412, 0.0678], [0.7741, 0.3763, 0.7741], [0.7741, 0.7741, 0.3763], [0.9322, 0.3588, 0.3588]]
}

***

Record 13
{
  "formula": "Ba3SrMg4F16",
  "functional": "PBE-GGA",
  "state": "optimized geometry",
  "e_tot_ev_per_atom": -5.5364,
  "space_group": "Cm (8)",
  "lattice": [[9.4693, -2.0571, 0.0000], [9.4693, 2.0571, 0.0000], [-7.2652, 0.0000, 9.2263]],
  "species": ["Ba", "Ba", "Ba", "Sr", "Mg", "Mg", "Mg", "Mg", "F", "F", "F", "F", "F", "F", "F", "F", "F", "F", "F", "F", "F", "F", "F", "F"],
  "fractional_positions": [[0.0000, 0.0000, 0.0000], [0.0070, 0.0070, 0.5043], [0.3039, 0.3039, 0.0607], [0.3197, 0.3197, 0.5759], [0.5667, 0.5667, 0.2961], [0.5696, 0.5696, 0.7995], [0.7365, 0.7365, 0.2272], [0.7375, 0.7375, 0.7127], [0.0669, 0.0669, 0.2926], [0.0749, 0.0749, 0.7982], [0.2323, 0.2323, 0.2130], [0.2361, 0.2361, 0.6990], [0.4537, 0.4537, 0.0879], [0.4559, 0.4559, 0.5899], [0.4843, 0.4843, 0.8435], [0.4857, 0.4857, 0.3482], [0.6201, 0.6201, 0.1900], [0.6265, 0.6265, 0.6965], [0.6760, 0.6760, 0.4987], [0.6790, 0.6790, 0.0055], [0.8076, 0.8076, 0.4403], [0.8135, 0.8135, 0.9259], [0.8477, 0.8477, 0.2432], [0.8482, 0.8482, 0.7250]]
}

***

Record 14
{
  "formula": "Ba2SrMg4F14",
  "functional": "PBE-GGA",
  "state": "optimized geometry",
  "e_tot_ev_per_atom": -5.5138,
  "space_group": "P4_2/mnm (136)",
  "lattice": [[12.6324, 0.0000, 0.0000], [0.0000, 12.6324, 0.0000], [0.0000, 0.0000, 7.5772]],
  "species": ["Ba", "Ba", "Ba", "Ba", "Ba", "Ba", "Ba", "Ba", "Sr", "Sr", "Sr", "Sr", "Mg", "Mg", "Mg", "Mg", "Mg", "Mg", "Mg", "Mg", "Mg", "Mg", "Mg", "Mg", "Mg", "Mg", "Mg", "Mg", "F", "F", "F", "F", "F", "F", "F", "F", "F", "F", "F", "F", "F", "F", "F", "F", "F", "F", "F", "F", "F", "F", "F", "F", "F", "F", "F", "F", "F", "F", "F", "F", "F", "F", "F", "F", "F", "F", "F", "F", "F", "F", "F", "F", "F", "F", "F", "F", "F", "F", "F", "F", "F", "F", "F", "F"],
  "fractional_positions": [[0.0199, 0.3101, 0.0000], [0.1899, 0.5199, 0.5000], [0.3101, 0.0199, 0.0000], [0.4801, 0.8101, 0.5000], [0.5199, 0.1899, 0.5000], [0.6899, 0.9801, 0.0000], [0.8101, 0.4801, 0.5000], [0.9801, 0.6899, 0.0000], [0.0000, 0.0000, 0.2467], [0.0000, 0.0000, 0.7533], [0.5000, 0.5000, 0.2533], [0.5000, 0.5000, 0.7467], [0.0486, 0.2533, 0.5000], [0.2036, 0.7964, 0.2545], [0.2036, 0.7964, 0.7455], [0.2467, 0.5486, 0.0000], [0.2533, 0.0486, 0.5000], [0.2964, 0.2964, 0.2455], [0.2964, 0.2964, 0.7545], [0.4514, 0.7533, 0.0000], [0.5486, 0.2467, 0.0000], [0.7036, 0.7036, 0.2455], [0.7036, 0.7036, 0.7545], [0.7467, 0.9514, 0.5000], [0.7533, 0.4514, 0.0000], [0.7964, 0.2036, 0.2545], [0.7964, 0.2036, 0.7455], [0.9514, 0.7467, 0.5000], [0.0122, 0.6073, 0.5000], [0.0454, 0.8024, 0.3016], [0.0454, 0.8024, 0.6984], [0.0857, 0.0857, 0.0000], [0.1003, 0.1003, 0.5000], [0.1073, 0.4878, 0.0000], [0.1452, 0.3073, 0.3090], [0.1452, 0.3073, 0.6910], [0.1632, 0.8368, 0.0000], [0.1927, 0.6452, 0.1910], [0.1927, 0.6452, 0.8090], [0.1976, 0.9546, 0.3016], [0.1976, 0.9546, 0.6984], [0.2410, 0.7590, 0.5000], [0.2590, 0.2590, 0.0000], [0.3024, 0.4546, 0.1984], [0.3024, 0.4546, 0.8016], [0.3073, 0.1452, 0.3090], [0.3073, 0.1452, 0.6910], [0.3368, 0.3368, 0.5000], [0.3548, 0.8073, 0.1910], [0.3548, 0.8073, 0.8090], [0.3927, 0.9878, 0.5000], [0.3997, 0.6003, 0.0000], [0.4143, 0.5857, 0.5000], [0.4546, 0.3024, 0.1984], [0.4546, 0.3024, 0.8016], [0.4878, 0.1073, 0.0000], [0.5122, 0.8927, 0.0000], [0.5454, 0.6976, 0.1984], [0.5454, 0.6976, 0.8016], [0.5857, 0.4143, 0.5000], [0.6003, 0.3997, 0.0000], [0.6073, 0.0122, 0.5000], [0.6452, 0.1927, 0.1910], [0.6452, 0.1927, 0.8090], [0.6632, 0.6632, 0.5000], [0.6927, 0.8548, 0.3090], [0.6927, 0.8548, 0.6910], [0.6976, 0.5454, 0.1984], [0.6976, 0.5454, 0.8016], [0.7410, 0.7410, 0.0000], [0.7590, 0.2410, 0.5000], [0.8024, 0.0454, 0.3016], [0.8024, 0.0454, 0.6984], [0.8073, 0.3548, 0.1910], [0.8073, 0.3548, 0.8090], [0.8368, 0.1632, 0.0000], [0.8548, 0.6927, 0.3090], [0.8548, 0.6927, 0.6910], [0.8927, 0.5122, 0.0000], [0.8997, 0.8997, 0.5000], [0.9143, 0.9143, 0.0000], [0.9546, 0.1976, 0.3016], [0.9546, 0.1976, 0.6984], [0.9878, 0.3927, 0.5000]]
}

***

Record 15
{
  "formula": "BaSr2MgF8",
  "functional": "PBE-GGA",
  "state": "optimized geometry",
  "e_tot_ev_per_atom": -5.5563,
  "space_group": "P2/m (10)",
  "lattice": [[4.3196, 0.0000, 0.0000], [0.0000, 7.9743, 0.0000], [-0.5917, 0.0000, 5.6394]],
  "species": ["Ba", "Sr", "Sr", "Mg", "F", "F", "F", "F", "F", "F", "F", "F"],
  "fractional_positions": [[0.0000, 0.0000, 0.0000], [0.5000, 0.2701, 0.5000], [0.5000, 0.7299, 0.5000], [0.0000, 0.5000, 0.0000], [0.0508, 0.2906, 0.7617], [0.0508, 0.7094, 0.7617], [0.4069, 0.5000, 0.2162], [0.4775, 0.0000, 0.7313], [0.5225, 0.0000, 0.2687], [0.5931, 0.5000, 0.7838], [0.9492, 0.2906, 0.2383], [0.9492, 0.7094, 0.2383]]
}

***

Record 16
{
  "formula": "BaSrMgF6",
  "functional": "PBE-GGA",
  "state": "optimized geometry",
  "e_tot_ev_per_atom": -5.5472,
  "space_group": "P-31c (163)",
  "lattice": [[5.9617, 0.0000, 0.0000], [-2.9808, 5.1630, 0.0000], [0.0000, 0.0000, 10.6645]],
  "species": ["Ba", "Ba", "Sr", "Sr", "Mg", "Mg", "F", "F", "F", "F", "F", "F", "F", "F", "F", "F", "F", "F"],
  "fractional_positions": [[0.0000, 0.0000, 0.0000], [0.0000, 0.0000, 0.5000], [0.3333, 0.6667, 0.2500], [0.6667, 0.3333, 0.7500], [0.3333, 0.6667, 0.7500], [0.6667, 0.3333, 0.2500], [0.0488, 0.3845, 0.6437], [0.0488, 0.6642, 0.8563], [0.3358, 0.3845, 0.8563], [0.3358, 0.9512, 0.6437], [0.3845, 0.0488, 0.1437], [0.3845, 0.3358, 0.3563], [0.6155, 0.6642, 0.6437], [0.6155, 0.9512, 0.8563], [0.6642, 0.0488, 0.3563], [0.6642, 0.6155, 0.1437], [0.9512, 0.3358, 0.1437], [0.9512, 0.6155, 0.3563]]
}